An optimized crystal structure of YNb2Sn. Source: the Alexandria database, functional GGA-PBE.

Cell: 8.1209 8.1209 5.7845 Å, 90.00 90.00 90.00°
Closest atoms and distances in Å follow each position.
Space group I-42d (No. 122)
One atom of each set of equivalent atoms:
Y  0.0000  0.0000  0.0000 [4 per cell]  2 Sn 2.89, 4 Nb 3.15
Nb  0.2171  0.2500  0.6250 [8 per cell]  2 Sn 2.78, 2 Nb 2.94
Sn  0.0000  0.0000  0.5000 [4 per cell]  4 Nb 2.78, 2 Y 2.89

Results
* calculated total energy: -28.55 eV/f.u.
* E_form: 0.514 eV per atom

---

An optimized crystal structure of MgAg4Au2. Source: the Alexandria database, functional GGA-PBE.

Cell: 5.9061 6.4859 7.7235 Å, 104.42 111.34 102.80°
Closest atoms and distances in Å follow each position.
Space group P1 (No. 1)
One atom of each set of equivalent atoms:
Mg  0.0000  0.0000  0.0000 [1 per cell]  4 Au 2.82-2.92, 8 Ag 2.92-3.01
Mg  0.2148  0.7202  0.5717 [1 per cell]  3 Au 2.84-2.87, 9 Ag 2.90-2.99
Ag  0.1377  0.1493  0.7097 [1 per cell]  7 Ag 2.91-2.96, 3 Au 2.92-2.98, 2 Mg 2.92-2.95
Ag  0.2777  0.2900  0.4218 [1 per cell]  3 Au 2.89-2.97, 2 Mg 2.90-2.92, 7 Ag 2.91-2.97
Ag  0.5001  0.0105  0.9980 [1 per cell]  4 Au 2.88-3.00, 5 Ag 2.90-2.96, 3 Mg 2.95-2.96
Ag  0.6406  0.1530  0.7108 [1 per cell]  7 Ag 2.91-2.96, 3 Au 2.93-2.98, 2 Mg 2.96-3.01
Ag  0.7117  0.7227  0.5689 [1 per cell]  5 Ag 2.87-2.97, 4 Au 2.87-3.01, 3 Mg 2.94-2.97
Ag  0.7792  0.2932  0.4230 [1 per cell]  8 Ag 2.89-2.96, 3 Au 2.95-2.99, 1 Mg 2.95
Ag  0.8483  0.8636  0.2854 [1 per cell]  6 Ag 2.87-2.95, 2 Mg 2.92-2.98, 4 Au 2.94-2.98
Ag  0.9191  0.4332  0.1370 [1 per cell]  5 Ag 2.89-2.95, 5 Au 2.92-2.97, 2 Mg 2.95-2.99
Au  0.0689  0.5878  0.8502 [1 per cell]  2 Mg 2.82-2.84, 6 Ag 2.89-2.98, 4 Au 2.94-2.99
Au  0.3468  0.8590  0.2884 [1 per cell]  2 Mg 2.85-2.92, 8 Ag 2.90-3.00, 2 Au 2.93-2.99
Au  0.4138  0.4276  0.1340 [1 per cell]  8 Ag 2.88-3.01, 1 Mg 2.91, 3 Au 2.93-2.98
Au  0.5671  0.5857  0.8509 [1 per cell]  2 Mg 2.87-2.89, 7 Ag 2.87-2.98, 3 Au 2.94-2.97

Results
* excess energy over the best structure of this formula in the dataset: 0 meV/atom
* calculated total energy: -20.67 eV/f.u.
* E_form: -0.160 eV per atom

---

An optimized crystal structure of Ba4Sb6Pb5. Source: the Alexandria database, functional GGA-PBE.

Cell: 4.8577 25.9738 18.3049 Å, 90.00 90.00 90.00°
Closest atoms and distances in Å follow each position.
Space group Cmc2_1 (No. 36)
One atom of each set of equivalent atoms:
Ba  0.0000  0.0118  0.0000 [4 per cell]  7 Sb 3.71-3.89, 1 Ba 4.05
Ba  0.0000  0.0431  0.7835 [4 per cell]  3 Pb 3.55-3.91, 6 Sb 3.60-3.89
Ba  0.0000  0.1469  0.3268 [4 per cell]  6 Sb 3.50-3.86, 2 Pb 3.86
Ba  0.0000  0.1901  0.9632 [4 per cell]  6 Sb 3.46-3.68
Sb  0.0000  0.1209  0.1355 [4 per cell]  4 Pb 3.13-3.18
Sb  0.0000  0.2103  0.5172 [4 per cell]  4 Pb 2.98-3.32
Sb  0.0000  0.2576  0.8004 [4 per cell]  3 Pb 3.04-3.16
Sb  0.0000  0.3951  0.3996 [4 per cell]  1 Pb 3.05
Sb  0.0000  0.4433  0.1188 [4 per cell]  4 Pb 3.14-3.28
Sb  0.0000  0.4522  0.8617 [4 per cell]  2 Pb 3.08-3.29
Pb  0.0000  0.1395  0.6456 [4 per cell]  3 Sb 2.98-3.28
Pb  0.0000  0.3003  0.6460 [4 per cell]  4 Sb 3.04-3.32
Pb  0.0000  0.3178  0.2741 [4 per cell]  3 Sb 3.05-3.16
Pb  0.0000  0.3635  0.9898 [4 per cell]  4 Sb 3.13-3.29
Pb  0.0000  0.4433  0.6937 [4 per cell]  4 Sb 3.08-3.25

Results
* calculated total energy: -58.95 eV/f.u.

---

An optimized crystal structure of CsY3Mg. Source: the Alexandria database, functional GGA-PBE.

Cell: 5.6619 5.6619 5.6619 Å, 90.00 90.00 90.00°
Closest atoms and distances in Å follow each position.
Space group Pm-3m (No. 221)
One atom of each set of equivalent atoms:
Cs  0.0000  0.0000  0.0000 [1 per cell]  6 Y 2.83
Y  0.0000  0.0000  0.5000 [3 per cell]  2 Cs 2.83
Mg  0.5000  0.5000  0.5000 [1 per cell]  12 Y 4.00

Results
* excess energy over the best structure of this formula in the dataset: 525 meV/atom
* calculated total energy: -15.74 eV/f.u.
* E_form: 1.220 eV per atom

---

An optimized crystal structure of ZrHgP2. Source: the Alexandria database, functional GGA-PBE.

Cell: 3.8042 4.7766 9.5483 Å, 90.00 90.00 90.00°
Closest atoms and distances in Å follow each position.
Space group Cmmm (No. 65)
One atom of each set of equivalent atoms:
Zr  0.0000  0.0000  0.0000 [2 per cell]  4 P 2.64
Hg  0.0000  0.0000  0.5000 [2 per cell]  4 Hg 3.05
P  0.0000  0.5000  0.1912 [4 per cell]  2 Zr 2.64

Results
* calculated total energy: -20.45 eV/f.u.
* E_form: -0.195 eV per atom

---

An optimized crystal structure of Ca7Ta. Source: the Alexandria database, functional GGA-PBE.

Cell: 10.4944 10.4944 10.4944 Å, 90.00 90.00 90.00°
Closest atoms and distances in Å follow each position.
Space group Fm-3m (No. 225)
One atom of each set of equivalent atoms:
Ca  0.0000  0.0000  0.0000 [4 per cell]  12 Ca 3.71
Ca  0.0000  0.2500  0.2500 [24 per cell]  10 Ca 3.71, 2 Ta 3.71
Ta  0.0000  0.0000  0.5000 [4 per cell]  12 Ca 3.71

Results
* calculated total energy: -22.46 eV/f.u.
* E_form: 0.426 eV per atom

---

An optimized crystal structure of ZrAsHRh. Source: the Alexandria database, functional GGA-PBE.

Cell: 4.2020 4.2020 3.6306 Å, 90.00 90.00 120.00°
Closest atoms and distances in Å follow each position.
Space group P3m1 (No. 156)
One atom of each set of equivalent atoms:
Zr  0.0000  0.0000  0.0000 [1 per cell]  3 H 2.43
As  0.3333  0.6667  0.5183 [1 per cell]  3 Rh 2.43
H  0.6667  0.3333  0.9907 [1 per cell]  2 Rh 1.77-1.86
Rh  0.6667  0.3333  0.4787 [1 per cell]  2 H 1.77-1.86

Results
* calculated total energy: -26.73 eV/f.u.

---

An optimized crystal structure of RbLaWN3. Source: the Alexandria database, functional GGA-PBE.

Cell: 14.1753 3.9748 8.3941 Å, 90.00 105.21 90.00°
Closest atoms and distances in Å follow each position.
Space group C2/m (No. 12)
One atom of each set of equivalent atoms:
Rb  0.1395  0.0000  0.0650 [4 per cell]  6 N 3.08-3.35
La  0.1643  0.0000  0.5993 [4 per cell]  7 N 2.52-2.78
W  0.0101  0.5000  0.3331 [4 per cell]  4 N 1.92-1.99
N  0.0131  0.0000  0.3510 [4 per cell]  2 W 1.99
N  0.1270  0.5000  0.7793 [4 per cell]  1 W 1.92
N  0.1538  0.5000  0.3635 [4 per cell]  1 W 1.99

Results
* calculated total energy: -47.26 eV/f.u.

---

An optimized crystal structure of SrPm3Pa2N6. Source: the Alexandria database, functional GGA-PBE.

Cell: 15.6847 3.5953 7.1987 Å, 90.00 103.17 90.00°
Closest atoms and distances in Å follow each position.
Space group C2/m (No. 12)
One atom of each set of equivalent atoms:
Sr  0.0000  0.0000  0.0000 [2 per cell]  6 N 2.62-2.64
Pm  0.0000  0.0000  0.5000 [2 per cell]  6 N 2.49-2.63
Pm  0.1681  0.5000  0.8366 [4 per cell]  5 N 2.46-2.67
Pa  0.1659  0.5000  0.3319 [4 per cell]  6 N 2.22-2.48
N  0.0208  0.5000  0.2755 [4 per cell]  1 Pa 2.22
N  0.1713  0.0000  0.1121 [4 per cell]  2 Pa 2.41, 3 Pm 2.46-2.67, 1 Sr 2.62
N  0.1717  0.0000  0.5672 [4 per cell]  3 Pa 2.46-2.48, 3 Pm 2.63-2.65

Results
* calculated total energy: -102.26 eV/f.u.

---

An optimized crystal structure of HoScGa2. Source: the Alexandria database, functional GGA-PBE.

Cell: 3.4690 3.4690 6.8705 Å, 90.00 90.00 90.00°
Closest atoms and distances in Å follow each position.
Space group P4/mmm (No. 123)
One atom of each set of equivalent atoms:
Ho  0.0000  0.0000  0.0000 [1 per cell]  8 Ga 3.07, 2 Sc 3.44
Sc  0.0000  0.0000  0.5000 [1 per cell]  8 Ga 2.92
Ga  0.5000  0.5000  0.2693 [2 per cell]  4 Sc 2.92, 4 Ho 3.07, 1 Ga 3.17

Results
* excess energy over the best structure of this formula in the dataset: 0 meV/atom
* calculated total energy: -19.30 eV/f.u.
* E_form: -0.584 eV per atom

---

An optimized crystal structure of HfSiP2Cl. Source: the Alexandria database, functional GGA-PBE.

Cell: 4.5903 4.5903 4.4033 Å, 90.00 90.00 90.00°
Closest atoms and distances in Å follow each position.
Space group P4/mmm (No. 123)
One atom of each set of equivalent atoms:
Hf  0.0000  0.0000  0.0000 [1 per cell]  8 P 3.18, 4 Cl 3.25
Si  0.5000  0.5000  0.5000 [1 per cell]  2 Cl 2.20, 4 P 2.30
P  0.0000  0.5000  0.5000 [2 per cell]  2 Si 2.30
Cl  0.5000  0.5000  0.0000 [1 per cell]  2 Si 2.20

Results
* excess energy over the best structure of this formula in the dataset: 43 meV/atom
* calculated total energy: -26.71 eV/f.u.

---

An optimized crystal structure of Ce2PtCl. Source: the Alexandria database, functional GGA-PBE.

Cell: 8.3910 8.3913 7.1665 Å, 90.00 125.74 90.00°
Closest atoms and distances in Å follow each position.
Space group C2/c (No. 15)
One atom of each set of equivalent atoms:
Ce  0.2377  0.1254  0.2256 [8 per cell]  3 Pt 2.77-2.97, 3 Cl 2.97-3.05
Pt  0.0000  0.1248  0.7500 [4 per cell]  6 Ce 2.77-2.97
Cl  0.0000  0.3756  0.2500 [4 per cell]  6 Ce 2.97-3.05

Results
* excess energy over the best structure of this formula in the dataset: 0 meV/atom
* calculated total energy: -24.74 eV/f.u.

---

What is the calculated total energy in the eleventh record?
-26.71 eV/f.u.

---

Number 10 is which compound?
HoScGa2